## YThSnHg (PBE)

Data for a relaxed structure of YThSnHg.

Cell lengths 7.618, 7.618, 7.618 Å; angles 90.00, 90.00, 90.00 degrees
Atoms (fractional coordinates):
Y (0.000, 0.000, 0.000)
Y (0.000, 0.500, 0.500)
Y (0.500, 0.000, 0.500)
Y (0.500, 0.500, 0.000)
Th (0.000, 0.000, 0.500)
Th (0.000, 0.500, 0.000)
Th (0.500, 0.000, 0.000)
Th (0.500, 0.500, 0.500)
Sn (0.250, 0.250, 0.250)
Sn (0.250, 0.750, 0.750)
Sn (0.750, 0.250, 0.750)
Sn (0.750, 0.750, 0.250)
Hg (0.250, 0.250, 0.750)
Hg (0.250, 0.750, 0.250)
Hg (0.750, 0.250, 0.250)
Hg (0.750, 0.750, 0.750)

## Properties
Calculated density: 9.6 g/cm3
E_tot: -79.75 eV for the cell shown
Calculated formation energy: -0.44 eV per atom
Magnetic moment: 0.00 μB per formula unit